Compound: Cr3AsPb
Source: Alexandria
Functional: GGA-PBE
Structure: optimized geometry

* VASP energy: -6.86 eV per atom
* ΔH_f (0 K): 0.5860 eV/atom
* M_tot: 11.0 μB per formula unit
* E above lowest polymorph: 0 meV per atom
* volume: 108.9 Å³/cell

Cell and atoms, written as CIF:
```
data_Cr3AsPb
_chemical_formula_sum 'Cr3 As1 Pb1'
_cell_length_a 4.776
_cell_length_b 4.776
_cell_length_c 4.776
_cell_angle_alpha 90.00
_cell_angle_beta 90.00
_cell_angle_gamma 90.00
_symmetry_space_group_name_H-M 'P 1'
_symmetry_Int_Tables_number 1
loop_
_symmetry_equiv_pos_as_xyz
'x,y,z'
loop_
_atom_site_label
_atom_site_type_symbol
_atom_site_fract_x
_atom_site_fract_y
_atom_site_fract_z
Cr1 Cr 0.000 0.000 0.500
Cr2 Cr 0.000 0.500 0.000
Cr3 Cr 0.500 0.000 0.000
As1 As 0.000 0.000 0.000
Pb1 Pb 0.500 0.500 0.500
```

***

Compound: Y2CrAuN
Source: Alexandria
Functional: GGA-PBE
Structure: optimized geometry

* VASP energy: -7.67 eV per atom
* M_tot: 2.2 μB per formula unit
* volume: 93.1 Å³/cell

Cell and atoms, written as CIF:
```
data_Y2CrAuN
_chemical_formula_sum 'Y2 Cr1 Au1 N1'
_cell_length_a 4.942
_cell_length_b 4.942
_cell_length_c 3.812
_cell_angle_alpha 90.00
_cell_angle_beta 90.00
_cell_angle_gamma 90.00
_symmetry_space_group_name_H-M 'P 1'
_symmetry_Int_Tables_number 1
loop_
_symmetry_equiv_pos_as_xyz
'x,y,z'
loop_
_atom_site_label
_atom_site_type_symbol
_atom_site_fract_x
_atom_site_fract_y
_atom_site_fract_z
Y1 Y 0.000 0.500 0.000
Y2 Y 0.500 0.000 0.000
Cr1 Cr 0.000 0.000 0.500
Au1 Au 0.500 0.500 0.500
N1 N 0.000 0.000 0.000
```

***

Compound: NaDySn4
Source: Alexandria
Functional: GGA-PBE
Structure: optimized geometry

* VASP energy: -3.87 eV per atom
* ΔH_f (0 K): -0.2125 eV/atom
* M_tot: 0.0 μB per formula unit
* volume: 168.3 Å³/cell

Cell and atoms, written as CIF:
```
data_NaDySn4
_chemical_formula_sum 'Na1 Dy1 Sn4'
_cell_length_a 6.198
_cell_length_b 6.198
_cell_length_c 6.198
_cell_angle_alpha 60.00
_cell_angle_beta 60.00
_cell_angle_gamma 60.00
_symmetry_space_group_name_H-M 'P 1'
_symmetry_Int_Tables_number 1
loop_
_symmetry_equiv_pos_as_xyz
'x,y,z'
loop_
_atom_site_label
_atom_site_type_symbol
_atom_site_fract_x
_atom_site_fract_y
_atom_site_fract_z
Na1 Na 0.000 0.000 0.000
Dy1 Dy 0.750 0.750 0.750
Sn1 Sn 0.375 0.375 0.375
Sn2 Sn 0.375 0.375 0.874
Sn3 Sn 0.375 0.874 0.375
Sn4 Sn 0.874 0.375 0.375
```

***

Compound: Ba2LiMgF
Source: Alexandria
Functional: GGA-PBE
Structure: optimized geometry

* VASP energy: -2.91 eV per atom
* M_tot: 0.0 μB per formula unit
* volume: 156.4 Å³/cell

Cell and atoms, written as CIF:
```
data_Ba2LiMgF
_chemical_formula_sum 'Ba2 Li1 Mg1 F1'
_cell_length_a 5.970
_cell_length_b 5.970
_cell_length_c 4.390
_cell_angle_alpha 90.00
_cell_angle_beta 90.00
_cell_angle_gamma 90.00
_symmetry_space_group_name_H-M 'P 1'
_symmetry_Int_Tables_number 1
loop_
_symmetry_equiv_pos_as_xyz
'x,y,z'
loop_
_atom_site_label
_atom_site_type_symbol
_atom_site_fract_x
_atom_site_fract_y
_atom_site_fract_z
Ba1 Ba 0.000 0.500 0.000
Ba2 Ba 0.500 0.000 0.000
Li1 Li 0.000 0.000 0.500
Mg1 Mg 0.500 0.500 0.500
F1 F 0.000 0.000 0.000
```

***

Compound: Ba3ZnIn
Source: Alexandria
Functional: GGA-PBE
Structure: optimized geometry

* VASP energy: -1.90 eV per atom
* ΔH_f (0 K): 0.0574 eV/atom
* M_tot: 2.1 μB per formula unit
* E above lowest polymorph: 311 meV per atom
* volume: 252.3 Å³/cell

Cell and atoms, written as CIF:
```
data_Ba3ZnIn
_chemical_formula_sum 'Ba3 Zn1 In1'
_cell_length_a 6.319
_cell_length_b 6.319
_cell_length_c 6.319
_cell_angle_alpha 90.00
_cell_angle_beta 90.00
_cell_angle_gamma 90.00
_symmetry_space_group_name_H-M 'P 1'
_symmetry_Int_Tables_number 1
loop_
_symmetry_equiv_pos_as_xyz
'x,y,z'
loop_
_atom_site_label
_atom_site_type_symbol
_atom_site_fract_x
_atom_site_fract_y
_atom_site_fract_z
Ba1 Ba 0.000 0.000 0.500
Ba2 Ba 0.000 0.500 0.000
Ba3 Ba 0.500 0.000 0.000
Zn1 Zn 0.000 0.000 0.000
In1 In 0.500 0.500 0.500
```

***

Compound: PmLuAlSi
Source: Alexandria
Functional: GGA-PBE
Structure: optimized geometry

* VASP energy: -4.95 eV per atom
* M_tot: 0.0 μB per formula unit
* volume: 365.2 Å³/cell

Cell and atoms, written as CIF:
```
data_PmLuAlSi
_chemical_formula_sum 'Pm4 Lu4 Al4 Si4'
_cell_length_a 7.148
_cell_length_b 7.148
_cell_length_c 7.148
_cell_angle_alpha 90.00
_cell_angle_beta 90.00
_cell_angle_gamma 90.00
_symmetry_space_group_name_H-M 'P 1'
_symmetry_Int_Tables_number 1
loop_
_symmetry_equiv_pos_as_xyz
'x,y,z'
loop_
_atom_site_label
_atom_site_type_symbol
_atom_site_fract_x
_atom_site_fract_y
_atom_site_fract_z
Pm1 Pm 0.000 0.000 0.000
Pm2 Pm 0.000 0.500 0.500
Pm3 Pm 0.500 0.000 0.500
Pm4 Pm 0.500 0.500 0.000
Lu1 Lu 0.000 0.000 0.500
Lu2 Lu 0.000 0.500 0.000
Lu3 Lu 0.500 0.000 0.000
Lu4 Lu 0.500 0.500 0.500
Al1 Al 0.250 0.250 0.750
Al2 Al 0.250 0.750 0.250
Al3 Al 0.750 0.250 0.250
Al4 Al 0.750 0.750 0.750
Si1 Si 0.250 0.250 0.250
Si2 Si 0.250 0.750 0.750
Si3 Si 0.750 0.250 0.750
Si4 Si 0.750 0.750 0.250
```

***

Question: The lowest volume belongs to which entry?
Answer: Y2CrAuN